# 1
A geometry-optimized Sm3Pa2Rh4 structure. Source: Alexandria, functional PBE.

a = 3.9104 Å, b = 6.1877 Å, c = 9.4941 Å
α = 98.30°, β = 90.00°, γ = 108.42°
Last column: nearest neighbours and their distance in Å.
Fractional coordinates of all 9 atoms:
Rh: 0.6917 0.3835 0.0800  3 Pa 2.68-2.82, 2 Rh 2.94, 2 Sm 2.99
Sm: 0.6240 0.2480 0.3865  5 Rh 3.09-3.13
Sm: 0.3760 0.7520 0.6135  5 Rh 3.09-3.13
Rh: 0.3083 0.6165 0.9200  3 Pa 2.68-2.82, 2 Rh 2.94, 2 Sm 2.99
Rh: 0.0814 0.1628 0.6249  2 Pa 2.62, 1 Rh 2.81
Sm: 0.0000 0.0000 0.0000  4 Rh 2.99
Rh: 0.9186 0.8372 0.3751  2 Pa 2.62, 1 Rh 2.81
Pa: 0.6824 0.3647 0.7810  5 Rh 2.62-2.82
Pa: 0.3176 0.6353 0.2190  5 Rh 2.62-2.82

Computed properties:
**DOS at the Fermi energy**: 1.08 states/eV per atom
**Size of the total moment**: 0.000 μB per atom
**Space-group type**: C2/m, No. 12
**E_form**: -686 meV/atom

=====

# 2
A geometry-optimized PrNd2O4 structure. Source: Alexandria, functional PBE.

a = 3.5947 Å, b = 6.1503 Å, c = 6.7276 Å
α = 118.95°, β = 105.50°, γ = 90.00°
Last column: nearest neighbours and their distance in Å.
Fractional coordinates of all 7 atoms:
Pr: 0.0000 0.0000 0.0000  6 O 2.40-2.55
O: 0.3514 0.7252 0.7028  3 Nd 2.36-2.59, 2 Pr 2.55
Nd: 0.7031 0.7031 0.4062  6 O 2.34-2.59
O: 0.6486 0.2748 0.2972  3 Nd 2.36-2.59, 2 Pr 2.55
Nd: 0.2969 0.2969 0.5938  6 O 2.34-2.59
O: 0.8634 0.1564 0.7269  3 Nd 2.34-2.50, 1 Pr 2.40
O: 0.1366 0.8436 0.2731  3 Nd 2.34-2.50, 1 Pr 2.40

Computed properties:
**DOS at the Fermi energy**: 0.30 states/eV per atom
**Size of the total moment**: 0.000 μB per atom
**Space-group type**: C2/m, No. 12
**Formation energy from raw total energies**: -3.03 eV per atom

=====

# 3
A geometry-optimized TcPdIN2 structure. Source: Alexandria, functional PBE.

a = 3.8422 Å, b = 3.8422 Å, c = 5.9712 Å
α = 90.00°, β = 90.00°, γ = 90.00°
Last column: nearest neighbours and their distance in Å.
Fractional coordinates of all 5 atoms:
N: 0.0000 0.5000 0.0000  2 Tc 1.92
Tc: 0.0000 0.0000 0.0000  4 N 1.92
N: 0.5000 0.0000 0.0000  2 Tc 1.92
I: 0.0000 0.0000 0.5000  4 Pd 2.72, 2 Tc 2.99
Pd: 0.5000 0.5000 0.5000  4 I 2.72

Computed properties:
**Relative energy among the computed polymorphs**: 0.00 eV per formula unit
**DOS at the Fermi energy**: 0.66 states/eV per atom
**Size of the total moment**: 0.000 μB per atom
**Space-group type**: P4/mmm, No. 123
**Formation energy from raw total energies**: 0.69 eV per atom